Record 1
Density functional theory data (SCAN) for ScTcPt2 at its PBEsol-relaxed geometry.

Summary:
Total energy ... -48.04 eV/atom
Energy of formation ... -0.62 eV per atom
Total magnetic moment ... 4.1 μB/cell
Energy above the most stable polymorph in this dataset ... 60 kJ/mol of formula units

Cell: 3.953 3.953 7.878 Å, 90.00 90.00 90.00°
Space group I-4m2 (No. 119)
Inequivalent atoms, fractional coordinates:
Sc  0.000  0.000  0.000 x2
Tc  0.000  0.500  0.750 x2
Pt  0.000  0.000  0.500 x2
Pt  0.000  0.500  0.250 x2



Record 2
Density functional theory data (SCAN) for Cs3Li2AlMo4O16 at its PBEsol-relaxed geometry.

Summary:
Total energy ... -16.45 eV/atom
Total magnetic moment ... 0.0 μB/cell
Formation energy without anion corrections ... -55.4 kcal/mol of atoms

Cell: 12.094 12.094 12.076 Å, 90.00 90.00 90.00°
Space group I-42d (No. 122)
Inequivalent atoms, fractional coordinates:
Cs  0.000  0.000  0.000 x4
Cs  0.139  0.250  0.625 x8
Li  0.125  0.750  0.125 x8
Al  0.000  0.000  0.500 x4
Mo  0.097  0.148  0.279 x16
O  0.032  0.657  0.036 x16
O  0.068  0.682  0.447 x16
O  0.082  0.586  0.666 x16
O  0.158  0.221  0.963 x16



Record 3
Density functional theory data (SCAN) for Cd2GePd2 at its PBEsol-relaxed geometry.

Summary:
Total energy ... -29.43 eV/atom
Energy of formation ... -0.34 eV per atom
Total magnetic moment ... 0.0 μB/cell

Cell: 6.460 6.460 4.205 Å, 90.00 90.00 90.00°
Space group P4/mbm (No. 127)
Inequivalent atoms, fractional coordinates:
Cd  0.156  0.344  0.000 x4
Ge  0.000  0.000  0.500 x2
Pd  0.153  0.653  0.500 x4



Record 4
Density functional theory data (SCAN) for Be2CrW at its PBEsol-relaxed geometry.

Summary:
Total energy ... -24.07 eV/atom
Energy of formation ... 0.12 eV per atom
Total magnetic moment ... 0.0 μB/cell
Energy above the most stable polymorph in this dataset ... 0 kJ/mol of formula units

Cell: 3.486 3.486 3.628 Å, 90.00 90.00 90.00°
Space group P4/mmm (No. 123)
Inequivalent atoms, fractional coordinates:
Be  0.000  0.500  0.000 x2
Cr  0.000  0.000  0.500 x1
W  0.500  0.500  0.500 x1



Record 5
Density functional theory data (SCAN) for MgIn2Se4 at its PBEsol-relaxed geometry.

Summary:
Total energy ... -22.59 eV/atom
Total magnetic moment ... 0.0 μB/cell
Formation energy without anion corrections ... -20.0 kcal/mol of atoms

Cell: 7.058 8.145 13.515 Å, 98.82 95.04 90.01°
Space group P-1 (No. 2)
Inequivalent atoms, fractional coordinates:
Mg  0.132  0.199  0.298 x2
Mg  0.249  0.374  0.001 x2
In  0.139  0.699  0.296 x2
In  0.239  0.877  0.000 x2
In  0.371  0.047  0.702 x2
In  0.371  0.556  0.706 x2
Se  0.099  0.647  0.104 x2
Se  0.106  0.156  0.107 x2
Se  0.185  0.779  0.619 x2
Se  0.186  0.281  0.620 x2
Se  0.311  0.972  0.382 x2
Se  0.313  0.469  0.381 x2
Se  0.399  0.598  0.898 x2
Se  0.402  0.101  0.895 x2



Record 6
Density functional theory data (SCAN) for RbBe3Cr at its PBEsol-relaxed geometry.

Summary:
Total energy ... -7.78 eV/atom
Energy of formation ... 2.65 eV per atom
Total magnetic moment ... 4.5 μB/cell

Cell: 4.956 4.956 4.956 Å, 90.00 90.00 90.00°
Space group Pm-3m (No. 221)
Inequivalent atoms, fractional coordinates:
Rb  0.000  0.000  0.000 x1
Be  0.000  0.000  0.500 x3
Cr  0.500  0.500  0.500 x1



Record 7
Density functional theory data (SCAN) for Sr2ZrIr at its PBEsol-relaxed geometry.

Summary:
Total energy ... -36.09 eV/atom
Energy of formation ... 0.50 eV per atom
Total magnetic moment ... 0.0 μB/cell
Energy above the most stable polymorph in this dataset ... 5 kJ/mol of formula units

Cell: 3.314 4.957 5.946 Å, 90.00 90.00 90.00°
Space group Pmmm (No. 47)
Inequivalent atoms, fractional coordinates:
Sr  0.000  0.000  0.234 x2
Zr  0.500  0.500  0.500 x1
Ir  0.500  0.500  0.000 x1



Record 8
Density functional theory data (SCAN) for ZnPBr2 at its PBEsol-relaxed geometry.

Summary:
Total energy ... -15.34 eV/atom
Total magnetic moment ... 0.0 μB/cell
Formation energy without anion corrections ... 8.4 kcal/mol of atoms

Cell: 3.383 4.069 6.225 Å, 90.00 90.00 90.00°
Space group Pmmm (No. 47)
Inequivalent atoms, fractional coordinates:
Zn  0.000  0.000  0.000 x1
P  0.500  0.000  0.500 x1
Br  0.000  0.500  0.500 x1
Br  0.500  0.500  0.000 x1



Record 9
Density functional theory data (SCAN) for TiW3C at its PBEsol-relaxed geometry.

Summary:
Total energy ... -43.62 eV/atom
Energy of formation ... 3.42 eV per atom
Total magnetic moment ... 0.0 μB/cell
Energy above the most stable polymorph in this dataset ... 1570 kJ/mol of formula units

Cell: 4.492 4.492 4.492 Å, 90.00 90.00 90.00°
Space group Pm-3m (No. 221)
Inequivalent atoms, fractional coordinates:
Ti  0.000  0.000  0.000 x1
W  0.000  0.000  0.500 x3
C  0.500  0.500  0.500 x1



Record 10
Density functional theory data (SCAN) for Gd3SbO7 at its PBEsol-relaxed geometry.

Summary:
Total energy ... -26.55 eV/atom
Total magnetic moment ... 84.0 μB/cell
Formation energy without anion corrections ... -72.8 kcal/mol of atoms
Energy above the most stable polymorph in this dataset ... 0 kJ/mol of formula units

Cell: 7.465 10.601 7.537 Å, 90.00 90.00 90.00°
Space group Cmcm (No. 63)
Inequivalent atoms, fractional coordinates:
Gd  0.000  0.000  0.000 x4
Gd  0.234  0.266  0.250 x8
Sb  0.000  0.500  0.000 x4
O  0.000  0.129  0.750 x4
O  0.000  0.136  0.250 x4
O  0.000  0.432  0.250 x4
O  0.197  0.376  0.530 x16



Record 11
Density functional theory data (SCAN) for AlAg2Br at its PBEsol-relaxed geometry.

Summary:
Total energy ... -22.28 eV/atom
Total magnetic moment ... 0.0 μB/cell
Formation energy without anion corrections ... 4.7 kcal/mol of atoms
Energy above the most stable polymorph in this dataset ... 70 kJ/mol of formula units

Cell: 3.844 3.844 10.992 Å, 90.00 90.00 90.00°
Space group I-4m2 (No. 119)
Inequivalent atoms, fractional coordinates:
Al  0.000  0.000  0.000 x2
Ag  0.000  0.000  0.500 x2
Ag  0.000  0.500  0.750 x2
Br  0.000  0.500  0.250 x2



Record 12
Density functional theory data (SCAN) for CaPt2CI at its PBEsol-relaxed geometry.

Summary:
Total energy ... -39.47 eV/atom
Total magnetic moment ... 0.0 μB/cell
Formation energy without anion corrections ... -2.1 kcal/mol of atoms

Cell: 4.020 4.020 6.427 Å, 90.00 90.00 90.00°
Space group P4/mmm (No. 123)
Inequivalent atoms, fractional coordinates:
Ca  0.000  0.000  0.000 x1
Pt  0.000  0.500  0.500 x2
C  0.500  0.500  0.500 x1
I  0.500  0.500  0.000 x1